## one
VASP calculation (PBE-GGA) on crystalline Pm3SmRh3 at its relaxed geometry.

Its density of states at the Fermi level is 4.0 states/eV/f.u.

The structure belongs to space group Pnma (No. 62); the cell edges are 12.0296, 4.1792 and 13.8493 Å and the angles 90.00°, 90.00° and 90.00°. The asymmetric unit holds Pm at (0.0454, 0.2500, 0.0984), Pm at (0.1870, 0.7500, 0.5213), Pm at (0.2471, 0.2500, 0.3044), Sm at (0.0218, 0.2500, 0.6860), Rh at (0.0530, 0.2500, 0.4371), Rh at (0.1144, 0.2500, 0.8872) and Rh at (0.2190, 0.7500, 0.1602).

---

## two
VASP calculation (PBE-GGA) on crystalline Pm3SmRh3 at its relaxed geometry.

Its density of states at the Fermi level is 4.7 states/eV/f.u.

The structure belongs to space group C2/m (No. 12); the cell edges are 9.3303, 10.5051 and 7.1284 Å and the angles 90.00°, 90.68° and 90.00°. The asymmetric unit holds Pm at (0.0000, 0.1812, 0.0000), Pm at (0.0000, 0.2474, 0.5000), Pm at (0.1715, 0.5000, 0.8762), Sm at (0.2491, 0.0000, 0.6241), Rh at (0.0607, 0.0000, 0.3021) and Rh at (0.2477, 0.2504, 0.2288).

---

Most stable: one. Least stable: two.

---

## one
VASP calculation (PBE-GGA) on crystalline PmSm3Rh at its relaxed geometry.

Its density of states at the Fermi level is 7.9 states/eV/f.u.

The structure belongs to space group Pm-3m (No. 221); the cell edges are 5.5326, 5.5326 and 5.5326 Å and the angles 90.00°, 90.00° and 90.00°. The asymmetric unit holds Pm at (0.0000, 0.0000, 0.0000), Sm at (0.0000, 0.5000, 0.5000) and Rh at (0.5000, 0.5000, 0.5000).

---

## two
VASP calculation (PBE-GGA) on crystalline PmSm3Rh at its relaxed geometry.

Its density of states at the Fermi level is 5.5 states/eV/f.u.

The structure belongs to space group Cm (No. 8); the cell edges are 12.2020, 3.8522 and 13.9451 Å and the angles 90.00°, 114.55° and 90.00°. The asymmetric unit holds Pm at (0.0000, 0.0000, 0.0000), Pm at (0.1078, 0.0000, 0.2803), Sm at (0.1221, 0.0000, 0.6276), Sm at (0.2298, 0.0000, 0.9061), Sm at (0.2799, 0.5000, 0.1537), Sm at (0.2902, 0.5000, 0.5162), Sm at (0.4393, 0.0000, 0.3913), Sm at (0.4499, 0.0000, 0.7527), Rh at (0.2884, 0.5000, 0.7834) and Rh at (0.4399, 0.0000, 0.1223).

---

Most stable: two. Least stable: one.